# Y4TcGe8 PBE-GGA relaxed
# total moment: 0.0 μB per cell
# energy of formation: -0.555 eV per atom
# VASP energy: -6.182 eV per atom
data_Y4TcGe8
_chemical_formula_sum 'Y4 Tc1 Ge8'
_symmetry_space_group_name_H-M 'P m m 2'
_symmetry_Int_Tables_number 25
_symmetry_space_group_name_Hall 'P 2 -2'
_cell_length_a 4.0283
_cell_length_b 4.2158
_cell_length_c 16.1257
_cell_angle_alpha 90.00
_cell_angle_beta 90.00
_cell_angle_gamma 90.00
loop_
_atom_site_label
_atom_site_type_symbol
_atom_site_fract_x
_atom_site_fract_y
_atom_site_fract_z
_atom_site_occupancy
Y1 Y 0.0000 0.0000 0.0000 1
Y2 Y 0.0000 0.5000 0.4830 1
Y3 Y 0.5000 0.0000 0.7950 1
Y4 Y 0.5000 0.5000 0.2844 1
Tc1 Tc 0.0000 0.5000 0.6993 1
Ge1 Ge 0.0000 0.0000 0.3300 1
Ge2 Ge 0.0000 0.0000 0.6203 1
Ge3 Ge 0.0000 0.5000 0.1393 1
Ge4 Ge 0.0000 0.5000 0.8536 1
Ge5 Ge 0.5000 0.0000 0.1449 1
Ge6 Ge 0.5000 0.0000 0.4383 1
Ge7 Ge 0.5000 0.5000 0.6162 1
Ge8 Ge 0.5000 0.5000 0.9577 1